A geometry-optimized Tb2Sm2Y4Th structure, computed with PBE.

For the formation energy, the calculation gives 0.001 eV per atom. The magnetization comes out at 0.0 Bohr magnetons per cell.

```
Tb2Sm2Y4Th
1.0
9.3904 -1.8082 0.0000
9.3904 1.8082 0.0000
-4.1654 0.0000 8.6382
Tb Sm Y Th
2 2 4 1
direct
0.1479 0.1479 0.1650
0.8521 0.8521 0.8350
0.3358 0.3358 0.4978
0.6642 0.6642 0.5022
0.1845 0.1845 0.8337
0.4817 0.4817 0.1703
0.5183 0.5183 0.8297
0.8155 0.8155 0.1663
0.0000 0.0000 0.5000
```